The following is a DFT calculation (PBE) of an optimized crystal structure of K3MnTe.

The structure in POSCAR format:
```
K3MnTe
1.0
6.669 0.000 0.000
0.000 6.669 0.000
0.000 0.000 6.669
K Mn Te
3 1 1
Direct
0.000 0.000 0.500
0.000 0.500 0.000
0.500 0.000 0.000
0.500 0.500 0.500
0.000 0.000 0.000
```

## Properties
* symmetry: Pm-3m, No. 221
* formation energy without anion corrections: 0.0852 eV/atom



The following is a DFT calculation (PBE) of an optimized crystal structure of K2Ti2MnTe6.

The structure in POSCAR format:
```
K2Ti2MnTe6
1.0
3.452 -6.121 0.000
3.452 6.121 0.000
-2.454 0.000 8.437
K Ti Mn Te
2 2 1 6
Direct
0.162 0.838 0.000
0.838 0.162 0.000
0.327 0.673 0.500
0.673 0.327 0.500
0.000 0.000 0.500
0.070 0.400 0.690
0.273 0.273 0.319
0.400 0.070 0.690
0.600 0.930 0.310
0.727 0.727 0.681
0.930 0.600 0.310
```

## Properties
* symmetry: C2/m, No. 12
* formation energy without anion corrections: -0.6909 eV/atom



The following is a DFT calculation (PBE) of an optimized crystal structure of KTiMnTe3.

The structure in POSCAR format:
```
KTiMnTe3
1.0
9.280 0.000 0.000
0.000 3.840 0.000
-4.030 0.000 9.586
K Ti Mn Te
2 2 2 6
Direct
0.009 0.250 0.267
0.991 0.750 0.733
0.497 0.250 0.189
0.503 0.750 0.811
0.492 0.250 0.556
0.508 0.750 0.444
0.288 0.750 0.195
0.288 0.750 0.548
0.327 0.250 0.890
0.673 0.750 0.110
0.712 0.250 0.452
0.712 0.250 0.805
```

## Properties
* symmetry: P2_1/m, No. 11
* formation energy without anion corrections: -0.5604 eV/atom



The following is a DFT calculation (PBE) of an optimized crystal structure of KTmMnTe3.

The structure in POSCAR format:
```
KTmMnTe3
1.0
9.628 0.000 0.000
0.000 4.432 0.000
-3.304 0.000 9.916
K Tm Mn Te
2 2 2 6
Direct
0.207 0.250 0.238
0.793 0.750 0.762
0.332 0.750 0.860
0.668 0.250 0.140
0.084 0.250 0.606
0.916 0.750 0.394
0.111 0.250 0.867
0.217 0.750 0.538
0.461 0.750 0.164
0.539 0.250 0.836
0.783 0.250 0.462
0.889 0.750 0.133
```

## Properties
* symmetry: P2_1/m, No. 11
* formation energy without anion corrections: -0.9476 eV/atom



The following is a DFT calculation (PBE) of an optimized crystal structure of K2TmMnTe4.

The structure in POSCAR format:
```
K2TmMnTe4
1.0
-4.318 4.318 3.780
4.318 -4.318 3.780
4.318 4.318 -3.780
K Tm Mn Te
2 1 1 4
Direct
0.000 0.500 0.500
0.500 0.000 0.500
0.000 0.000 0.000
0.500 0.500 0.000
0.106 0.106 0.661
0.445 0.445 0.339
0.555 0.894 0.000
0.894 0.555 0.000
```

## Properties
* symmetry: I-42m, No. 121
* formation energy without anion corrections: -0.8014 eV/atom



The following is a DFT calculation (PBE) of an optimized crystal structure of K3U2MnTe6.

The structure in POSCAR format:
```
K3U2MnTe6
1.0
3.748 -6.415 0.000
3.748 6.415 0.000
-2.483 0.000 8.332
K U Mn Te
3 2 1 6
Direct
0.000 0.000 0.000
0.323 0.677 0.000
0.677 0.323 0.000
0.165 0.835 0.500
0.835 0.165 0.500
0.500 0.500 0.500
0.133 0.434 0.303
0.265 0.265 0.703
0.434 0.133 0.303
0.566 0.867 0.697
0.735 0.735 0.297
0.867 0.566 0.697
```

## Properties
* symmetry: C2/m, No. 12
* formation energy without anion corrections: -0.6006 eV/atom



The following is a DFT calculation (PBE) of an optimized crystal structure of K2UMnTe5.

The structure in POSCAR format:
```
K2UMnTe5
1.0
2.211 -10.445 0.000
2.211 10.445 0.000
0.000 0.000 14.760
K U Mn Te
4 2 2 10
Direct
0.115 0.885 0.500
0.132 0.868 0.856
0.868 0.132 0.356
0.885 0.115 0.000
0.198 0.802 0.188
0.802 0.198 0.688
0.427 0.573 0.579
0.573 0.427 0.079
0.052 0.948 0.177
0.302 0.698 0.544
0.312 0.688 0.825
0.334 0.666 0.175
0.491 0.509 0.434
0.509 0.491 0.934
0.666 0.334 0.675
0.688 0.312 0.325
0.698 0.302 0.044
0.948 0.052 0.677
```

## Properties
* symmetry: Cmc2_1, No. 36
* formation energy without anion corrections: -0.6197 eV/atom



The following is a DFT calculation (PBE) of an optimized crystal structure of K4U3MnTe8.

The structure in POSCAR format:
```
K4U3MnTe8
1.0
4.473 2.582 8.241
-4.473 2.582 8.241
0.000 -5.165 8.241
K U Mn Te
4 3 1 8
Direct
0.000 0.000 0.000
0.000 0.500 0.500
0.500 0.000 0.500
0.500 0.500 0.000
0.000 0.000 0.500
0.000 0.500 0.000
0.500 0.000 0.000
0.500 0.500 0.500
0.238 0.238 0.238
0.246 0.728 0.728
0.272 0.272 0.754
0.272 0.754 0.272
0.728 0.246 0.728
0.728 0.728 0.246
0.754 0.272 0.272
0.762 0.762 0.762
```

## Properties
* symmetry: R-3m, No. 166
* formation energy without anion corrections: -0.7759 eV/atom



- The lowest formation energy without anion corrections belongs to which entry?
  KTmMnTe3



- formation energy without anion corrections of number 2 (K2Ti2MnTe6)?
  -0.6909 eV/atom



- The lowest formation energy without anion corrections belongs to which entry?
  KTmMnTe3